Record 1
First-principles (PBE) data for Ac2Ga3Rh4 after structural relaxation, as listed in Alexandria via LeMat-Bulk.

Computed properties:
The calculation puts the calculated density at 10.24 g/cm³. Its crystal system is orthorhombic. The value obtained for the formation enthalpy at 0 K is -0.759 eV per atom. As for the space group: Cmce (64). The total DFT energy (no corrections) is -5.948 eV/atom.

a = 8.521 Å, b = 8.521 Å, c = 7.455 Å
α = 90.00°, β = 90.00°, γ = 139.88°
Fractional positions:
Ac 0.109 0.891 0.916
Ac 0.391 0.609 0.416
Ac 0.609 0.391 0.584
Ac 0.891 0.109 0.084
Ga 0.000 0.000 0.500
Ga 0.025 0.475 0.750
Ga 0.475 0.025 0.250
Ga 0.500 0.500 0.000
Ga 0.525 0.975 0.750
Ga 0.975 0.525 0.250
Rh 0.182 0.818 0.521
Rh 0.184 0.316 0.750
Rh 0.316 0.184 0.250
Rh 0.318 0.682 0.021
Rh 0.682 0.318 0.979
Rh 0.684 0.816 0.750
Rh 0.816 0.684 0.250
Rh 0.818 0.182 0.479

Record 2
First-principles (PBE) data for Ac2GaRh after structural relaxation, as listed in Alexandria via LeMat-Bulk.

Computed properties:
The calculation puts the calculated density at 9.13 g/cm³. Its crystal system is orthorhombic. The value obtained for the formation enthalpy at 0 K is -0.595 eV per atom. As for the space group: Amm2 (38). The total DFT energy (no corrections) is -5.244 eV/atom.

a = 4.102 Å, b = 6.427 Å, c = 6.427 Å
α = 42.24°, β = 90.00°, γ = 90.00°
Fractional positions:
Ac 0.000 0.000 0.000
Ac 0.500 0.282 0.282
Ga 0.000 0.694 0.694
Rh 0.500 0.553 0.553

Record 3
First-principles (PBE) data for Ac7Ga2Rh2 after structural relaxation, as listed in Alexandria via LeMat-Bulk.

Computed properties:
The calculation puts the calculated density at 8.81 g/cm³. Its crystal system is orthorhombic. The value obtained for the formation enthalpy at 0 K is -0.409 eV per atom. As for the space group: Imm2 (44). The total DFT energy (no corrections) is -4.910 eV/atom. Its excess energy over the best structure of this formula in the dataset is 0.000 eV/f.u.

a = 9.696 Å, b = 9.696 Å, c = 9.696 Å
α = 152.57°, β = 68.50°, γ = 118.61°
Fractional positions:
Ac 0.000 0.000 0.000
Ac 0.283 0.391 0.892
Ac 0.297 0.615 0.682
Ac 0.499 0.391 0.108
Ac 0.596 0.218 0.378
Ac 0.841 0.218 0.622
Ac 0.933 0.615 0.318
Ga 0.146 0.912 0.235
Ga 0.677 0.912 0.765
Rh 0.206 0.706 0.500
Rh 0.659 0.659 0.000

Record 4
First-principles (PBE) data for Ac2Ga5Rh4 after structural relaxation, as listed in Alexandria via LeMat-Bulk.

Computed properties:
The calculation puts the calculated density at 9.13 g/cm³. Its crystal system is orthorhombic. The value obtained for the formation enthalpy at 0 K is -0.693 eV per atom. As for the space group: Fmmm (69). The total DFT energy (no corrections) is -5.489 eV/atom.

a = 9.291 Å, b = 8.227 Å, c = 5.837 Å
α = 80.75°, β = 60.92°, γ = 38.32°
Fractional positions:
Ac 0.147 0.147 0.853
Ac 0.853 0.853 0.147
Ga 0.000 0.000 0.500
Ga 0.250 0.250 0.250
Ga 0.500 0.500 0.000
Ga 0.500 0.500 0.500
Ga 0.750 0.750 0.750
Rh 0.217 0.532 0.468
Rh 0.468 0.783 0.217
Rh 0.532 0.217 0.783
Rh 0.783 0.468 0.532

Record 5
First-principles (PBE) data for AcGaRh2 after structural relaxation, as listed in Alexandria via LeMat-Bulk.

Computed properties:
The calculation puts the calculated density at 8.80 g/cm³. Its crystal system is orthorhombic. The value obtained for the formation enthalpy at 0 K is -0.208 eV per atom. As for the space group: Pmma (51). The total DFT energy (no corrections) is -5.667 eV/atom.

a = 6.107 Å, b = 7.333 Å, c = 8.470 Å
α = 90.00°, β = 90.00°, γ = 90.00°
Fractional positions:
Ac 0.250 0.000 0.173
Ac 0.250 0.500 0.297
Ac 0.750 0.000 0.827
Ac 0.750 0.500 0.703
Ga 0.250 0.000 0.742
Ga 0.250 0.500 0.783
Ga 0.750 0.000 0.258
Ga 0.750 0.500 0.217
Rh 0.000 0.000 0.500
Rh 0.000 0.500 0.000
Rh 0.250 0.292 0.561
Rh 0.250 0.708 0.561
Rh 0.500 0.000 0.500
Rh 0.500 0.500 0.000
Rh 0.750 0.292 0.439
Rh 0.750 0.708 0.439

Record 6
First-principles (PBE) data for AcGa3Rh2 after structural relaxation, as listed in Alexandria via LeMat-Bulk.

Computed properties:
The calculation puts the calculated density at 9.23 g/cm³. Its crystal system is orthorhombic. The value obtained for the formation enthalpy at 0 K is -0.738 eV per atom. As for the space group: Cmcm (63). The total DFT energy (no corrections) is -5.386 eV/atom.

a = 6.442 Å, b = 6.442 Å, c = 5.726 Å
α = 90.00°, β = 90.00°, γ = 76.39°
Fractional positions:
Ac 0.159 0.841 0.750
Ac 0.841 0.159 0.250
Ga 0.033 0.601 0.250
Ga 0.399 0.967 0.250
Ga 0.440 0.560 0.250
Ga 0.560 0.440 0.750
Ga 0.601 0.033 0.750
Ga 0.967 0.399 0.750
Rh 0.296 0.296 0.000
Rh 0.296 0.296 0.500
Rh 0.704 0.704 0.000
Rh 0.704 0.704 0.500

Record 7
First-principles (PBE) data for AcGa6Rh4 after structural relaxation, as listed in Alexandria via LeMat-Bulk.

Computed properties:
The calculation puts the calculated density at 9.19 g/cm³. Its crystal system is hexagonal. The value obtained for the formation enthalpy at 0 K is -0.625 eV per atom. As for the space group: P-6m2 (187). The total DFT energy (no corrections) is -5.323 eV/atom.

a = 7.366 Å, b = 7.366 Å, c = 4.063 Å
α = 90.00°, β = 90.00°, γ = 120.00°
Fractional positions:
Ac 0.000 0.000 0.000
Ga 0.201 0.401 0.500
Ga 0.201 0.799 0.500
Ga 0.534 0.068 0.000
Ga 0.534 0.466 0.000
Ga 0.599 0.799 0.500
Ga 0.932 0.466 0.000
Rh 0.333 0.667 0.000
Rh 0.411 0.206 0.500
Rh 0.794 0.206 0.500
Rh 0.794 0.589 0.500

Record 8
First-principles (PBE) data for Ac12Ga5Rh2 after structural relaxation, as listed in Alexandria via LeMat-Bulk.

Computed properties:
The calculation puts the calculated density at 7.51 g/cm³. Its crystal system is monoclinic. The value obtained for the formation enthalpy at 0 K is -0.310 eV per atom. As for the space group: C2/m (12). The total DFT energy (no corrections) is -4.475 eV/atom.

a = 9.822 Å, b = 9.822 Å, c = 10.135 Å
α = 104.69°, β = 104.69°, γ = 50.58°
Fractional positions:
Ac 0.002 0.002 0.283
Ac 0.064 0.593 0.392
Ac 0.103 0.606 0.931
Ac 0.394 0.897 0.069
Ac 0.407 0.936 0.608
Ac 0.472 0.472 0.680
Ac 0.528 0.528 0.320
Ac 0.593 0.064 0.392
Ac 0.606 0.103 0.931
Ac 0.897 0.394 0.069
Ac 0.936 0.407 0.608
Ac 0.998 0.998 0.717
Ga 0.190 0.190 0.343
Ga 0.202 0.202 0.872
Ga 0.500 0.500 0.000
Ga 0.798 0.798 0.128
Ga 0.810 0.810 0.657
Rh 0.242 0.758 0.500
Rh 0.758 0.242 0.500

Among the records above, which one has the lowest calculated density? Ac12Ga5Rh2

What is the formation enthalpy at 0 K in the fifth record? -0.208 eV per atom